[1]
A relaxed structure of YIrRu2. Source: Alexandria via LeMat-Bulk, functional PBE-GGA.

Cell lengths 2.929, 2.929, 7.880 Å; angles 90.00, 90.00, 90.00 degrees
Element x y z (fractional)
Ru  0.000  0.000  0.535
Ru  0.000  0.000  0.965
Ir  0.500  0.500  0.750
Y  0.500  0.500  0.250

The value obtained for the energy above the lowest structure with this stoichiometry is 154 meV per atom. For the density of states at the Fermi level, the calculation gives 3.78 states/eV/f.u. Its raw total energy is -8.33 eV/atom. As for the spin magnetization: 0.00 μB/f.u. Its calculated formation energy is 0.1414 eV/atom.

[2]
A relaxed structure of BiIrS2. Source: Alexandria via LeMat-Bulk, functional PBE-GGA.

Cell lengths 13.107, 8.047, 8.047 Å; angles 80.86, 96.80, 83.20 degrees
Element x y z (fractional)
Bi  0.107  0.090  0.286
Bi  0.893  0.910  0.714
Bi  0.136  0.136  0.834
Bi  0.607  0.214  0.410
Bi  0.636  0.666  0.364
Bi  0.364  0.334  0.636
Bi  0.864  0.864  0.166
Bi  0.393  0.786  0.590
S  0.496  0.480  0.220
S  0.004  0.720  0.980
S  0.750  0.283  0.783
S  0.250  0.475  0.975
S  0.504  0.520  0.780
S  0.321  0.899  0.853
S  0.679  0.101  0.147
S  0.996  0.280  0.020
S  0.821  0.647  0.601
S  0.622  0.841  0.796
S  0.122  0.704  0.659
S  0.250  0.717  0.217
S  0.179  0.353  0.399
S  0.878  0.296  0.341
S  0.750  0.525  0.025
S  0.378  0.159  0.204
Ir  0.326  0.427  0.267
Ir  0.267  0.992  0.124
Ir  0.826  0.233  0.073
Ir  0.174  0.767  0.927
Ir  0.767  0.376  0.508
Ir  0.233  0.624  0.492
Ir  0.674  0.573  0.733
Ir  0.733  0.008  0.876

For the density of states at the Fermi level, the calculation gives 1.69 states/eV/f.u. Its raw total energy is -5.29 eV/atom. As for the spin magnetization: 0.00 μB/f.u.

[3]
A relaxed structure of TaCu2Re. Source: Alexandria via LeMat-Bulk, functional PBE-GGA.

Cell lengths 2.662, 3.955, 5.513 Å; angles 90.00, 90.00, 90.00 degrees
Element x y z (fractional)
Cu  0.500  0.500  0.239
Cu  0.000  0.000  0.018
Re  0.000  0.000  0.489
Ta  0.500  0.500  0.753

The value obtained for the energy above the lowest structure with this stoichiometry is 48 meV per atom. For the density of states at the Fermi level, the calculation gives 2.29 states/eV/f.u. Its raw total energy is -7.97 eV/atom. As for the spin magnetization: 0.00 μB/f.u. Its calculated formation energy is 0.1490 eV/atom.

[4]
A relaxed structure of MgNi4Ge2. Source: Alexandria via LeMat-Bulk, functional PBE-GGA.

Cell lengths 3.820, 7.056, 7.056 Å; angles 90.00, 90.00, 90.00 degrees
Element x y z (fractional)
Ni  0.000  0.908  0.653
Ni  0.500  0.153  0.592
Ni  0.000  0.653  0.908
Ni  0.000  0.092  0.347
Ni  0.000  0.347  0.092
Ni  0.500  0.592  0.153
Ni  0.500  0.847  0.408
Ni  0.500  0.408  0.847
Ge  0.000  0.222  0.778
Ge  0.000  0.778  0.222
Ge  0.500  0.278  0.278
Ge  0.500  0.722  0.722
Mg  0.000  0.500  0.500
Mg  0.500  0.000  0.000

For the density of states at the Fermi level, the calculation gives 4.33 states/eV/f.u. Its raw total energy is -5.14 eV/atom. As for the spin magnetization: 0.00 μB/f.u. Its calculated formation energy is -0.2846 eV/atom.

[5]
A relaxed structure of CaV3As. Source: Alexandria via LeMat-Bulk, functional PBE-GGA.

Cell lengths 4.441, 4.441, 4.441 Å; angles 90.00, 90.00, 90.00 degrees
Element x y z (fractional)
V  0.000  0.000  0.500
V  0.000  0.500  0.000
V  0.500  0.000  0.000
Ca  0.000  0.000  0.000
As  0.500  0.500  0.500

The value obtained for the energy above the lowest structure with this stoichiometry is 1542 meV per atom. For the density of states at the Fermi level, the calculation gives 4.30 states/eV/f.u. Its raw total energy is -4.67 eV/atom. As for the spin magnetization: 0.00 μB/f.u. Its calculated formation energy is 2.1333 eV/atom.

[6]
A relaxed structure of ZrCr2Os. Source: Alexandria via LeMat-Bulk, functional PBE-GGA.

Cell lengths 7.015, 7.015, 5.631 Å; angles 51.47, 51.47, 90.00 degrees
Element x y z (fractional)
Os  0.000  0.000  0.000
Os  0.750  0.250  0.500
Cr  0.664  0.125  0.250
Cr  0.875  0.914  0.750
Cr  0.086  0.625  0.250
Cr  0.375  0.336  0.750
Zr  0.250  0.750  0.500
Zr  0.500  0.500  0.000

The value obtained for the energy above the lowest structure with this stoichiometry is 543 meV per atom. For the density of states at the Fermi level, the calculation gives 4.39 states/eV/f.u. Its raw total energy is -9.16 eV/atom. As for the spin magnetization: 0.00 μB/f.u. Its calculated formation energy is 0.5976 eV/atom.

[7]
A relaxed structure of Ga2FeBI. Source: Alexandria via LeMat-Bulk, functional PBE-GGA.

Cell lengths 4.898, 3.803, 4.898 Å; angles 90.00, 90.00, 90.00 degrees
Last column: magnetic moment on the atom in μB.
Element x y z (fractional)
Fe  0.000  0.000  0.000  1.17
Ga  0.000  0.000  0.500  0.00
Ga  0.500  0.000  0.000  -0.02
B  0.000  0.500  0.000  -0.07
I  0.500  0.500  0.500  0.05

For the density of states at the Fermi level, the calculation gives 3.69 states/eV/f.u. Its raw total energy is -4.09 eV/atom. As for the spin magnetization: 1.13 μB/f.u.

[8]
A relaxed structure of KBa2Y. Source: Alexandria via LeMat-Bulk, functional PBE-GGA.

Cell lengths 7.676, 7.676, 7.083 Å; angles 74.04, 74.04, 31.70 degrees
Last column: magnetic moment on the atom in μB.
Element x y z (fractional)
K  0.514  0.514  0.520  0.00
Ba  0.755  0.755  0.717  0.02
Ba  0.982  0.982  0.052  0.07
Y  0.248  0.248  0.211  0.18

The value obtained for the energy above the lowest structure with this stoichiometry is 120 meV per atom. For the density of states at the Fermi level, the calculation gives 6.73 states/eV/f.u. Its raw total energy is -2.53 eV/atom. As for the spin magnetization: 0.70 μB/f.u. Its calculated formation energy is 0.3226 eV/atom.